Below is CaAgAs after structural relaxation, with properties calculated at the PBE-GGA level.

* formation enthalpy at 0 K: -786 meV/atom
* total magnetic moment: 0.00 μB per cell
* VASP energy: -35.58 eV per cell

Geometry as POSCAR:
```
CaAgAs
1.0
-1.0325 -7.1347 -0.8083
6.6780 2.7822 -0.5358
0.5735 -0.5621 4.2294
Ag As Ca
3 3 3
direct
0.0000 0.7490 0.0000
0.2510 0.2510 0.0000
0.7490 0.0000 0.0000
0.6667 0.3333 0.0000
0.3333 0.6667 0.0000
0.0000 0.0000 0.5000
0.0000 0.4128 0.5000
0.5872 0.5872 0.5000
0.4128 0.0000 0.5000
```

***

Below is AcPm2Se4 after structural relaxation, with properties calculated at the PBE-GGA level.

* total magnetic moment: 0.00 μB per cell
* raw formation energy: -1.927 eV/atom
* VASP energy: -82.07 eV per cell

Geometry as POSCAR:
```
AcPm2Se4
1.0
-0.2905 3.9186 1.5442
-6.2870 -1.4324 -3.3191
-5.2511 -5.1917 12.1871
Ac Pm Se
2 4 8
direct
0.6211 0.2423 0.7500
0.3789 0.7577 0.2500
0.1292 0.2583 0.4354
0.8708 0.7417 0.9354
0.1292 0.2583 0.0646
0.8708 0.7417 0.5646
0.7722 0.5444 0.1204
0.7722 0.5444 0.3796
0.2278 0.4556 0.8796
0.2278 0.4556 0.6204
0.9576 0.9153 0.7500
0.0424 0.0847 0.2500
0.5000 0.0000 0.0000
0.5000 0.0000 0.5000
```

***

> Among the records above, which one has the highest VASP energy?

CaAgAs